Entry 1:
A relaxed Bi3Pd4Au2 crystal. Source: Alexandria, functional PBE.

Results
Excess energy over the best structure of this formula in the dataset: 0 meV/atom
Symmetry: C2/m
Final energy: -4.506 eV/atom
Density of states at the Fermi level: 3.3 states/eV/f.u.
V: 20.73 Å³ per atom

a = 5.245 Å, b = 5.245 Å, c = 10.157 Å
α = 94.25°, β = 94.25°, γ = 42.05°
Fractional coordinates of all 9 atoms:
Bi (0.000, 0.000, 0.000)
Bi (0.402, 0.402, 0.353)
Bi (0.598, 0.598, 0.647)
Pd (0.135, 0.135, 0.439)
Pd (0.314, 0.314, 0.088)
Pd (0.686, 0.686, 0.912)
Pd (0.865, 0.865, 0.561)
Au (0.341, 0.341, 0.780)
Au (0.659, 0.659, 0.220)

Entry 2:
A relaxed Y2FeTe crystal. Source: Alexandria, functional PBE.

Results
Excess energy over the best structure of this formula in the dataset: 266 meV/atom
Symmetry: Immm
Energy relative to the elements, uncorrected: -0.26 eV/atom
Final energy: -6.388 eV/atom
Density of states at the Fermi level: 4.2 states/eV/f.u.
V: 23.96 Å³ per atom

a = 5.366 Å, b = 5.366 Å, c = 5.366 Å
α = 129.82°, β = 123.48°, γ = 78.93°
Fractional coordinates of all 4 atoms:
Y (0.237, 0.237, 0.000)
Y (0.763, 0.763, 0.000)
Fe (0.000, 0.500, 0.500)
Te (0.500, 0.000, 0.500)

Entry 3:
A relaxed Li2PtW crystal. Source: Alexandria, functional PBE.

Results
Excess energy over the best structure of this formula in the dataset: 46 meV/atom
Symmetry: Pmm2
Final energy: -5.709 eV/atom
Density of states at the Fermi level: 3.3 states/eV/f.u.
V: 15.51 Å³ per atom

a = 2.684 Å, b = 4.181 Å, c = 5.528 Å
α = 90.00°, β = 90.00°, γ = 90.00°
Fractional coordinates of all 4 atoms:
Li (0.000, 0.000, 0.000)
Li (0.500, 0.500, 0.201)
Pt (0.000, 0.000, 0.502)
W (0.500, 0.500, 0.679)

Entry 4:
A relaxed SmTm3Ga crystal. Source: Alexandria, functional PBE.

Results
Symmetry: C2/m
Final energy: -4.305 eV/atom
Density of states at the Fermi level: 6.7 states/eV/f.u.
V: 30.52 Å³ per atom

a = 7.314 Å, b = 7.314 Å, c = 7.634 Å
α = 120.09°, β = 120.09°, γ = 72.81°
Fractional coordinates of all 10 atoms:
Sm (0.053, 0.053, 0.322)
Sm (0.947, 0.947, 0.678)
Tm (0.105, 0.492, 0.263)
Tm (0.428, 0.428, 0.732)
Tm (0.492, 0.105, 0.263)
Tm (0.508, 0.895, 0.737)
Tm (0.572, 0.572, 0.268)
Tm (0.895, 0.508, 0.737)
Ga (0.264, 0.264, 0.905)
Ga (0.736, 0.736, 0.095)

Entry 5:
A relaxed ScFeHg crystal. Source: Alexandria, functional PBE.

Results
Symmetry: I4mm
Final energy: -5.066 eV/atom
Density of states at the Fermi level: 3.0 states/eV/f.u.
V: 18.08 Å³ per atom

a = 5.303 Å, b = 5.303 Å, c = 5.303 Å
α = 142.77°, β = 142.77°, γ = 53.67°
Fractional coordinates of all 3 atoms:
Sc (0.000, 0.000, 0.000)
Fe (0.650, 0.650, 0.000)
Hg (0.312, 0.312, 0.000)

Entry 6:
A relaxed TmVOsRu crystal. Source: Alexandria, functional PBE.

Results
Symmetry: F-43m
Final energy: -8.712 eV/atom
Density of states at the Fermi level: 1.5 states/eV/f.u.
V: 16.07 Å³ per atom

a = 4.497 Å, b = 4.497 Å, c = 4.497 Å
α = 60.00°, β = 60.00°, γ = 60.00°
Fractional coordinates of all 4 atoms:
Tm (0.000, 0.000, 0.000)
V (0.500, 0.500, 0.500)
Os (0.250, 0.250, 0.250)
Ru (0.750, 0.750, 0.750)

Entry 7:
A relaxed NdCd4Hg4 crystal. Source: Alexandria, functional PBE.

Results
Excess energy over the best structure of this formula in the dataset: 60 meV/atom
Symmetry: P4_2/nmc
Final energy: -1.170 eV/atom
Density of states at the Fermi level: 5.6 states/eV/f.u.
V: 25.20 Å³ per atom

a = 6.694 Å, b = 6.694 Å, c = 10.123 Å
α = 90.00°, β = 90.00°, γ = 90.00°
Fractional coordinates of all 18 atoms:
Nd (0.250, 0.750, 0.250)
Nd (0.750, 0.250, 0.750)
Cd (0.037, 0.250, 0.187)
Cd (0.250, 0.037, 0.687)
Cd (0.250, 0.463, 0.687)
Cd (0.463, 0.250, 0.187)
Cd (0.537, 0.750, 0.813)
Cd (0.750, 0.537, 0.313)
Cd (0.750, 0.963, 0.313)
Cd (0.963, 0.750, 0.813)
Hg (0.001, 0.250, 0.479)
Hg (0.250, 0.001, 0.979)
Hg (0.250, 0.499, 0.979)
Hg (0.499, 0.250, 0.479)
Hg (0.501, 0.750, 0.521)
Hg (0.750, 0.501, 0.021)
Hg (0.750, 0.999, 0.021)
Hg (0.999, 0.750, 0.521)

Entry 8:
A relaxed KCuGe2P crystal. Source: Alexandria, functional PBE.

Results
Symmetry: P4/mmm
Final energy: -3.611 eV/atom
Density of states at the Fermi level: 2.7 states/eV/f.u.
V: 22.68 Å³ per atom

a = 4.836 Å, b = 4.836 Å, c = 4.850 Å
α = 90.00°, β = 90.00°, γ = 90.00°
Fractional coordinates of all 5 atoms:
K (0.000, 0.000, 0.000)
Cu (0.500, 0.500, 0.500)
Ge (0.000, 0.500, 0.500)
Ge (0.500, 0.000, 0.500)
P (0.500, 0.500, 0.000)

Entry 9:
A relaxed TaCdOsBr2 crystal. Source: Alexandria, functional PBE.

Results
Symmetry: P4/mmm
Energy relative to the elements, uncorrected: 0.84 eV/atom
Final energy: -4.632 eV/atom
Density of states at the Fermi level: 3.6 states/eV/f.u.
V: 26.50 Å³ per atom

a = 5.106 Å, b = 5.106 Å, c = 5.083 Å
α = 90.00°, β = 90.00°, γ = 90.00°
Fractional coordinates of all 5 atoms:
Ta (0.000, 0.000, 0.000)
Cd (0.500, 0.500, 0.500)
Os (0.000, 0.000, 0.500)
Br (0.000, 0.500, 0.000)
Br (0.500, 0.000, 0.000)

Entry 10:
A relaxed U2TlNi2Se6 crystal. Source: Alexandria, functional PBE.

Results
Symmetry: P-1
Energy relative to the elements, uncorrected: -0.67 eV/atom
Final energy: -5.888 eV/atom
Density of states at the Fermi level: 11.4 states/eV/f.u.
V: 27.04 Å³ per atom

a = 7.300 Å, b = 7.310 Å, c = 7.498 Å
α = 90.16°, β = 118.01°, γ = 118.35°
Fractional coordinates of all 11 atoms:
U (0.171, 0.011, 0.332)
U (0.829, 0.989, 0.668)
Tl (0.500, 0.000, 0.000)
Ni (0.394, 0.555, 0.344)
Ni (0.606, 0.445, 0.656)
Se (0.040, 0.253, 0.066)
Se (0.276, 0.247, 0.696)
Se (0.334, 0.745, 0.538)
Se (0.666, 0.255, 0.462)
Se (0.724, 0.753, 0.304)
Se (0.960, 0.747, 0.934)

Entry 11:
A relaxed CeNd2As crystal. Source: Alexandria, functional PBE.

Results
Excess energy over the best structure of this formula in the dataset: 0 meV/atom
Symmetry: P4/mmm
Final energy: -5.547 eV/atom
Density of states at the Fermi level: 5.2 states/eV/f.u.
V: 27.81 Å³ per atom

a = 3.848 Å, b = 3.848 Å, c = 7.513 Å
α = 90.00°, β = 90.00°, γ = 90.00°
Fractional coordinates of all 4 atoms:
Ce (0.000, 0.000, 0.000)
Nd (0.500, 0.500, 0.289)
Nd (0.500, 0.500, 0.711)
As (0.000, 0.000, 0.500)

Entry 12:
A relaxed ErScSnAu crystal. Source: Alexandria, functional PBE.

Results
Symmetry: F-43m
Final energy: -5.219 eV/atom
Density of states at the Fermi level: 4.0 states/eV/f.u.
V: 22.92 Å³ per atom

a = 5.061 Å, b = 5.061 Å, c = 5.061 Å
α = 60.00°, β = 60.00°, γ = 60.00°
Fractional coordinates of all 4 atoms:
Er (0.000, 0.000, 0.000)
Sc (0.500, 0.500, 0.500)
Sn (0.250, 0.250, 0.250)
Au (0.750, 0.750, 0.750)

- Which value of density of states at the Fermi level does entry 12 give?
  4.0 states/eV/f.u.

- Number 4 is which compound?
  SmTm3Ga